Entry 1:
The following is a PBE+U calculation of a relaxed structure of NpMoBr2O6, from Alexandria via LeMat-Bulk.

```
10
Lattice="5.603 -0.022 0.975 0.022 5.582 0.792 4.022 3.800 8.529" Properties=species:S:1:pos:R:3 pbc="T T T"
Np 5.603 -0.021 0.975
Mo 2.813 2.780 0.884
Br 6.689 2.427 5.706
Br 2.958 6.933 4.591
O 4.571 3.749 6.805
O 4.159 4.004 1.353
O 1.491 4.084 1.261
O 8.156 5.276 9.035
O 5.488 5.356 8.944
O 5.076 5.612 3.492
```

Results
Crystal system = triclinic
SG = No. 2

Entry 2:
The following is a PBE+U calculation of a relaxed structure of MoBr3O, from Alexandria via LeMat-Bulk.

```
5
Lattice="-1.582 -1.976 -4.106 4.096 -2.520 -0.366 -1.996 -3.607 2.504" Properties=species:S:1:pos:R:3 pbc="T T T"
Mo 0.259 -4.051 -0.983
O 0.000 0.000 0.000
Br 2.048 -1.260 -0.183
Br -0.998 -1.803 1.252
Br -0.791 -0.988 -2.053
```

Results
E above lowest polymorph = 1413 meV per atom
Crystal system = cubic
SG = No. 221

Number 1: raw total energy -67.7 eV per cell. Number 2: raw total energy -13.9 eV per cell.